# 1
SiRhW2: PBEsol geometry, meta-GGA SCAN.

Cell: 2.7257 4.0769 5.2626 Å, 90.00 102.29 90.00°
Last column: nearest neighbours and their distance in Å.
Space group Pm (No. 6)
One atom of each set of equivalent atoms:
1 Si 0.0000 0.0000 0.0000  2 Rh 2.40, 1 W 2.64
2 Rh 0.8999 0.5000 0.7554  2 Si 2.40
3 W 0.2997 0.0000 0.5119  3 Si 2.64-2.86, 4 W 2.73-2.74, 4 Rh 2.75
4 W 0.5840 0.5000 0.2262  4 Si 2.70-2.73, 6 W 2.73-3.00, 3 Rh 2.73-2.79

ΔE_f (raw), meV per atom: -148

---

# 2
Li2CoCl: PBEsol geometry, meta-GGA SCAN.

Cell: 6.5980 6.5980 6.1684 Å, 90.00 90.00 90.00°
Last column: nearest neighbours and their distance in Å.
Space group I-42d (No. 122)
One atom of each set of equivalent atoms:
1 Li 0.2122 0.7500 0.1250  2 Cl 2.30
2 Co 0.0000 0.0000 0.5000  4 Li 2.63
3 Cl 0.0000 0.0000 0.0000  4 Li 2.30

Energy above the lowest structure with this stoichiometry, meV/atom: 217
ΔE_f (raw), meV per atom: -317

---

# 3
SrTa2Hg: PBEsol geometry, meta-GGA SCAN.

Cell: 3.7242 4.6316 9.9118 Å, 90.00 90.00 90.00°
Last column: nearest neighbours and their distance in Å.
Space group Cmm2 (No. 35)
One atom of each set of equivalent atoms:
1 Sr 0.0000 0.0000 0.0000  4 Sr 2.97, 2 Hg 3.24
2 Ta 0.0000 0.0000 0.4993  8 Ta 2.79-3.11, 2 Hg 2.96
3 Ta 0.0000 0.5000 0.7090  8 Ta 2.79-3.11
4 Hg 0.0000 0.5000 0.2676  4 Ta 2.96-3.26, 4 Hg 2.97, 2 Sr 3.24

Calculated formation energy, eV per atom: 0.4191

---

# 4
YZn2: PBEsol geometry, meta-GGA SCAN.

Cell: 5.9169 4.6073 8.3872 Å, 90.00 90.00 90.00°
Last column: nearest neighbours and their distance in Å.
Space group Pnma (No. 62)
One atom of each set of equivalent atoms:
1 Y 0.1888 0.2500 0.0828  9 Zn 2.81-3.12
2 Zn 0.0152 0.2500 0.7232  5 Zn 2.73-2.99
3 Zn 0.1713 0.2500 0.4171  3 Zn 2.73-2.81, 4 Y 2.81-2.86

Calculated formation energy, eV per atom: -0.3838

---

# 5
Re2TeW: PBEsol geometry, meta-GGA SCAN.

Cell: 3.1344 4.6912 9.3330 Å, 90.00 90.00 90.00°
Last column: nearest neighbours and their distance in Å.
Space group Cmmm (No. 65)
One atom of each set of equivalent atoms:
1 Re 0.0000 0.0000 0.2222  2 W 2.60, 4 Re 2.82
2 Te 0.0000 0.5000 0.5000  6 Te 2.82-3.13, 4 Re 3.03
3 W 0.0000 0.5000 0.0000  4 Re 2.60, 4 W 2.82

ΔE_f (raw), meV per atom: 772

---

# 6
SbTeW2: PBEsol geometry, meta-GGA SCAN.

Cell: 3.1805 3.1805 29.8425 Å, 90.00 90.00 120.00°
Last column: nearest neighbours and their distance in Å.
Space group R3m (No. 160, hexagonal axes)
One atom of each set of equivalent atoms:
1 Sb 0.0000 0.0000 0.0000  3 W 2.86, 6 Sb 3.18
2 Te 0.0000 0.0000 0.7924  3 W 2.78
3 W 0.0000 0.0000 0.2600  3 W 2.66, 3 Sb 2.86
4 W 0.0000 0.0000 0.5290  3 W 2.66, 3 Te 2.78

Energy above the lowest structure with this stoichiometry, meV/atom: 61
ΔE_f (raw), meV per atom: 450

---

# 7
MnTeOs2: PBEsol geometry, meta-GGA SCAN.

Cell: 2.9419 2.9419 7.1773 Å, 90.00 90.00 90.00°
Last column: nearest neighbours and their distance in Å.
Space group P4mm (No. 99)
One atom of each set of equivalent atoms:
1 Mn 0.0000 0.0000 0.0000  4 Os 2.70, 4 Te 2.76, 4 Mn 2.94
2 Te 0.5000 0.5000 0.7473  4 Mn 2.76, 4 Os 2.90, 4 Te 2.94
3 Os 0.0000 0.0000 0.4653  8 Os 2.64-2.94, 4 Te 2.90
4 Os 0.5000 0.5000 0.2395  8 Os 2.64-2.94, 4 Mn 2.70

ΔE_f (raw), meV per atom: 503

---

# 8
Cs3RbI: PBEsol geometry, meta-GGA SCAN.

Cell: 7.5426 7.5426 7.5426 Å, 90.00 90.00 90.00°
Last column: nearest neighbours and their distance in Å.
Space group Pm-3m (No. 221)
One atom of each set of equivalent atoms:
1 Cs 0.0000 0.0000 0.5000  2 I 3.77
2 Rb 0.5000 0.5000 0.5000  12 Cs 5.33
3 I 0.0000 0.0000 0.0000  6 Cs 3.77

ΔE_f (raw), meV per atom: -653